(1)
# TaIn2Ni, optimized geometry, DFT GGA-PBE
data_TaIn2Ni
_cell_length_a 3.0728
_cell_length_b 4.2531
_cell_length_c 5.8532
_cell_angle_alpha 90.00
_cell_angle_beta 100.66
_cell_angle_gamma 90.00
_space_group_name_H-M_alt 'P 1 m 1'
_space_group_IT_number 6
loop_
_space_group_symop_operation_xyz
'x,y,z'
'x,-y,z'
loop_
_atom_site_label
_atom_site_type_symbol
_atom_site_fract_x
_atom_site_fract_y
_atom_site_fract_z
Ta1 Ta 0.0000 0.0000 0.0000
In1 In 0.2640 0.0000 0.5489
In2 In 0.5846 0.5000 0.2568
Ni1 Ni 0.6059 0.5000 0.8108
# - energy of formation from the pure elements (eV/atom) = 0.21

(2)
# TaIn2Ni, optimized geometry, DFT GGA-PBE
data_TaIn2Ni
_cell_length_a 5.9683
_cell_length_b 8.3912
_cell_length_c 2.9361
_cell_angle_alpha 90.00
_cell_angle_beta 90.19
_cell_angle_gamma 90.00
_space_group_name_H-M_alt 'C 1 2/m 1'
_space_group_IT_number 12
loop_
_space_group_symop_operation_xyz
'x,y,z'
'-x,-y,-z'
'-x,y,-z'
'x,-y,z'
'x+1/2,y+1/2,z'
'-x+1/2,-y+1/2,-z'
'-x+1/2,y+1/2,-z'
'x+1/2,-y+1/2,z'
loop_
_atom_site_label
_atom_site_type_symbol
_atom_site_fract_x
_atom_site_fract_y
_atom_site_fract_z
Ta1 Ta 0.0000 0.0000 0.0000
In1 In 0.2500 0.2500 0.5000
Ni1 Ni 0.0000 0.5000 0.0000
# - energy of formation from the pure elements (eV/atom) = 0.23

(3)
# TaIn2Ni, optimized geometry, DFT GGA-PBE
data_TaIn2Ni
_cell_length_a 6.6439
_cell_length_b 6.6439
_cell_length_c 6.6439
_cell_angle_alpha 90.00
_cell_angle_beta 90.00
_cell_angle_gamma 90.00
_space_group_name_H-M_alt 'F m -3 m'
_space_group_IT_number 225
_space_group_name_Hall '-F 4 2 3'
loop_
_atom_site_label
_atom_site_type_symbol
_atom_site_fract_x
_atom_site_fract_y
_atom_site_fract_z
Ta1 Ta 0.0000 0.0000 0.0000
In1 In 0.2500 0.2500 0.2500
Ni1 Ni 0.0000 0.0000 0.5000
# - energy of formation from the pure elements (eV/atom) = 0.43